## A
## LaBeSN2 (PBE)

Data for a geometry-optimized LaBeSN2 structure.

The value obtained for the density is 5.26 Mg/m³. As for the space group: P4/mmm (123).

Cell: 3.9480 3.9480 4.2164 Å, 90.00 90.00 90.00°
Last column: nearest neighbours and their distance in Å.
Sites, in units of the cell vectors:
Be: 0.0000 0.0000 0.0000  4 N 1.97, 2 S 2.11
S: 0.0000 0.0000 0.5000  2 Be 2.11
N: 0.0000 0.5000 0.0000  2 Be 1.97
N: 0.5000 0.0000 0.0000  2 Be 1.97
La: 0.5000 0.5000 0.5000  4 S 2.79, 8 N 2.89

=====

## B
## LaBeSN2 (PBE)

Data for a geometry-optimized LaBeSN2 structure.

The value obtained for the density is 3.41 Mg/m³. As for the space group: P4/mmm (123).

Cell: 4.0458 4.0458 6.1820 Å, 90.00 90.00 90.00°
Last column: nearest neighbours and their distance in Å.
Sites, in units of the cell vectors:
Be: 0.5000 0.5000 0.5000  4 S 2.86
S: 0.0000 0.0000 0.5000  4 Be 2.86, 2 La 3.09
N: 0.0000 0.5000 0.0000  2 La 2.02
N: 0.5000 0.0000 0.0000  2 La 2.02
La: 0.0000 0.0000 0.0000  4 N 2.02

=====

Which one sits at the bottom of the stability order? B does.

=====

## A
## LaBeSeN2 (PBE)

Data for a geometry-optimized LaBeSeN2 structure.

The value obtained for the density is 5.94 Mg/m³. As for the space group: P4/mmm (123).

Cell: 4.0594 4.0594 4.3225 Å, 90.00 90.00 90.00°
Last column: nearest neighbours and their distance in Å.
Sites, in units of the cell vectors:
Be: 0.0000 0.0000 0.0000  4 N 2.03, 2 Se 2.16
N: 0.0000 0.5000 0.0000  2 Be 2.03
N: 0.5000 0.0000 0.0000  2 Be 2.03
Se: 0.0000 0.0000 0.5000  2 Be 2.16
La: 0.5000 0.5000 0.5000  4 Se 2.87, 8 N 2.96

=====

## B
## LaBeSeN2 (PBE)

Data for a geometry-optimized LaBeSeN2 structure.

The value obtained for the density is 3.94 Mg/m³. As for the space group: P4/mmm (123).

Cell: 4.0591 4.0591 6.5248 Å, 90.00 90.00 90.00°
Last column: nearest neighbours and their distance in Å.
Sites, in units of the cell vectors:
Be: 0.5000 0.5000 0.5000  4 Se 2.87
N: 0.0000 0.5000 0.0000  2 La 2.03
N: 0.5000 0.0000 0.0000  2 La 2.03
Se: 0.0000 0.0000 0.5000  4 Be 2.87
La: 0.0000 0.0000 0.0000  4 N 2.03

=====

Which one sits at the bottom of the stability order? B does.

=====

## A
## LaBeSe2N (PBE)

Data for a geometry-optimized LaBeSe2N structure.

The value obtained for the density is 3.63 Mg/m³. As for the space group: P4/mmm (123).

Cell: 5.8737 5.8737 4.2443 Å, 90.00 90.00 90.00°
Last column: nearest neighbours and their distance in Å.
Sites, in units of the cell vectors:
Be: 0.5000 0.5000 0.5000  8 Se 3.62
N: 0.0000 0.0000 0.5000  2 La 2.12
Se: 0.0000 0.5000 0.0000  2 La 2.94
Se: 0.5000 0.0000 0.0000  2 La 2.94
La: 0.0000 0.0000 0.0000  2 N 2.12

=====

## B
## LaBeSe2N (PBE)

Data for a geometry-optimized LaBeSe2N structure.

The value obtained for the density is 5.85 Mg/m³. As for the space group: P4/mmm (123).

Cell: 5.0416 5.0416 3.5699 Å, 90.00 90.00 90.00°
Last column: nearest neighbours and their distance in Å.
Sites, in units of the cell vectors:
Be: 0.0000 0.0000 0.0000  2 N 1.78
N: 0.0000 0.0000 0.5000  2 Be 1.78
Se: 0.0000 0.5000 0.0000  2 Be 2.52
Se: 0.5000 0.0000 0.0000  2 Be 2.52
La: 0.5000 0.5000 0.5000  8 Se 3.09

=====

Which one sits at the bottom of the stability order? A does.

=====

## A
## NaLaBe3 (PBE)

Data for a geometry-optimized NaLaBe3 structure.

The value obtained for the density is 3.11 Mg/m³. As for the space group: Pm-3m (221).

Cell: 4.6550 4.6550 4.6550 Å, 90.00 90.00 90.00°
Last column: nearest neighbours and their distance in Å.
Sites, in units of the cell vectors:
Na: 0.0000 0.0000 0.0000  6 Be 2.33
Be: 0.0000 0.5000 0.0000  2 Na 2.33
Be: 0.0000 0.0000 0.5000  2 Na 2.33
Be: 0.5000 0.0000 0.0000  2 Na 2.33
La: 0.5000 0.5000 0.5000  12 Be 3.29

=====

## B
## NaLaBe3 (PBE)

Data for a geometry-optimized NaLaBe3 structure.

The value obtained for the density is 1.99 Mg/m³. As for the space group: Pm-3m (221).

Cell: 5.4048 5.4048 5.4048 Å, 90.00 90.00 90.00°
Last column: nearest neighbours and their distance in Å.
Sites, in units of the cell vectors:
Na: 0.5000 0.5000 0.5000  12 Be 3.82
Be: 0.0000 0.5000 0.0000  2 La 2.70
Be: 0.0000 0.0000 0.5000  2 La 2.70
Be: 0.5000 0.0000 0.0000  2 La 2.70
La: 0.0000 0.0000 0.0000  6 Be 2.70

=====

Which one sits at the bottom of the stability order? B does.